Computed, not measured: Ti2CoMoF after structural relaxation at the PBE+U level of DFT.

Properties
calculated total energy = -27.2 eV for the cell shown
N(E_F) = 4.95 states/eV/f.u.

The structure in CIF format:
```
data_Ti2CoMoF
_chemical_formula_sum 'Ti2 Co1 Mo1 F1'
_cell_length_a 4.807
_cell_length_b 4.807
_cell_length_c 3.649
_cell_angle_alpha 90.00
_cell_angle_beta 90.00
_cell_angle_gamma 90.00
_space_group_name_H-M_alt 'P 4/m m m'
_space_group_IT_number 123
_space_group_name_Hall '-P 4 2'
loop_
_atom_site_label
_atom_site_fract_x
_atom_site_fract_y
_atom_site_fract_z
Ti1 0.000 0.500 0.000
Co1 0.000 0.000 0.000
Mo1 0.500 0.500 0.500
F1 0.000 0.000 0.500
```